La3Sn2Au6: optimized geometry, PBE.

Computed properties:
electronic total energy: -4.357 eV/atom
DOS(E_F): 6.8 states/eV/f.u.
theoretical density: 10.78 g/cm3
V: 282.7 Å³/f.u.

Lattice parameters (Å, degrees): 4.1741 4.1741 16.4916 97.27 97.27 90.00
Atoms (fractional coordinates):
Au 0.5724 0.0724 0.1449
Au 0.7254 0.7254 0.4508
Au 0.9276 0.4276 0.8551
Au 0.0724 0.5724 0.1449
Au 0.4276 0.9276 0.8551
La 0.0000 0.0000 0.0000
Au 0.2746 0.2746 0.5492
Sn 0.3679 0.3679 0.7358
Sn 0.6321 0.6321 0.2642
La 0.8202 0.8202 0.6404
La 0.1798 0.1798 0.3596